Record 1
A plane-wave DFT calculation with PBE was carried out for a relaxed CeGdHg crystal.

As for the volume: 76.28 Å³/cell. As for the density of states at the Fermi level: 6.90 states/eV per cell. The calculation puts the formation enthalpy at 0 K at -40 meV/atom. The calculation puts the energy above the most stable polymorph in this dataset at 0.161 eV/atom. Its total moment is 6.17 μB/f.u. Its electronic total energy is -20.44 eV/cell.

CIF file:
```
data_CeGdHg
_chemical_formula_sum 'Ce1 Gd1 Hg1'
_space_group_name_H-M_alt 'P 3 m 1'
_space_group_IT_number 156
_cell_length_a 5.3215
_cell_length_b 5.3215
_cell_length_c 3.1103
_cell_angle_alpha 90.00
_cell_angle_beta 90.00
_cell_angle_gamma 120.00
loop_
_space_group_symop_operation_xyz
'x,y,z'
'-y,x-y,z'
'-x+y,-x,z'
'-y,-x,z'
'-x+y,y,z'
'x,x-y,z'
loop_
_atom_site_label
_atom_site_type_symbol
_atom_site_fract_x
_atom_site_fract_y
_atom_site_fract_z
Ce1 Ce 0.0000 0.0000 0.0000
Gd1 Gd 0.6667 0.3333 0.0039
Hg1 Hg 0.3333 0.6667 0.5021
```

***

Record 2
A plane-wave DFT calculation with PBE was carried out for a relaxed Zr2MnIn2S6 crystal.

As for the volume: 532.72 Å³/cell. Its total moment is 5.01 μB/f.u. As for the formation energy (no corrections): -11.1 eV per formula unit. Its electronic total energy is -135.26 eV/cell.

CIF file:
```
data_Zr2MnIn2S6
_chemical_formula_sum 'Zr4 Mn2 In4 S12'
_space_group_name_H-M_alt 'C 1 2/m 1'
_space_group_IT_number 12
_cell_length_a 6.398
_cell_length_b 11.137
_cell_length_c 7.771
_cell_angle_alpha 90.00
_cell_angle_beta 105.84
_cell_angle_gamma 90.00
loop_
_space_group_symop_operation_xyz
'x,y,z'
'-x,-y,-z'
'-x,y,-z'
'x,-y,z'
'x+1/2,y+1/2,z'
'-x+1/2,-y+1/2,-z'
'-x+1/2,y+1/2,-z'
'x+1/2,-y+1/2,z'
loop_
_atom_site_label
_atom_site_type_symbol
_atom_site_fract_x
_atom_site_fract_y
_atom_site_fract_z
Zr1 Zr 0.000 0.167 0.000
Mn1 Mn 0.000 0.500 0.000
In1 In 0.000 0.334 0.500
S1 S 0.233 0.331 0.197
S2 S 0.234 0.000 0.192
```

***

Record 3
A plane-wave DFT calculation with PBE was carried out for a relaxed BPtN2 crystal.

As for the volume: 143.91 Å³/cell. As for the density of states at the Fermi level: 11.58 states/eV per cell. Its total moment is 0.00 μB/f.u. As for the formation energy (no corrections): 0.6 eV per formula unit. Its electronic total energy is -115.06 eV/cell.

CIF file:
```
data_BPtN2
_chemical_formula_sum 'B4 Pt4 N8'
_space_group_name_H-M_alt 'I -4 2 d'
_space_group_IT_number 122
_space_group_name_Hall 'I -4 2bw'
_cell_length_a 4.358
_cell_length_b 4.358
_cell_length_c 7.578
_cell_angle_alpha 90.00
_cell_angle_beta 90.00
_cell_angle_gamma 90.00
loop_
_atom_site_label
_atom_site_type_symbol
_atom_site_fract_x
_atom_site_fract_y
_atom_site_fract_z
B1 B 0.000 0.000 0.000
Pt1 Pt 0.000 0.000 0.500
N1 N 0.149 0.250 0.125
```

***

Record 4
A plane-wave DFT calculation with PBE was carried out for a relaxed AcTbRu crystal.

As for the volume: 352.81 Å³/cell. As for the density of states at the Fermi level: 10.08 states/eV per cell. The calculation puts the formation enthalpy at 0 K at -143 meV/atom. The calculation puts the energy above the most stable polymorph in this dataset at 0.076 eV/atom. Its total moment is 0.00 μB/f.u. Its electronic total energy is -73.78 eV/cell.

CIF file:
```
data_AcTbRu
_chemical_formula_sum 'Ac4 Tb4 Ru4'
_space_group_name_H-M_alt 'F -4 3 m'
_space_group_IT_number 216
_space_group_name_Hall 'F -4 2 3'
_cell_length_a 7.066
_cell_length_b 7.066
_cell_length_c 7.066
_cell_angle_alpha 90.00
_cell_angle_beta 90.00
_cell_angle_gamma 90.00
loop_
_atom_site_label
_atom_site_type_symbol
_atom_site_fract_x
_atom_site_fract_y
_atom_site_fract_z
Ac1 Ac 0.000 0.000 0.000
Tb1 Tb 0.000 0.000 0.500
Ru1 Ru 0.250 0.250 0.750
```

***

Record 5
A plane-wave DFT calculation with PBE was carried out for a relaxed In2MoW crystal.

As for the volume: 147.71 Å³/cell. As for the density of states at the Fermi level: 5.44 states/eV per cell. The calculation puts the formation enthalpy at 0 K at 583 meV/atom. The calculation puts the energy above the most stable polymorph in this dataset at 0.286 eV/atom. Its total moment is 0.00 μB/f.u. Its electronic total energy is -53.86 eV/cell.

CIF file:
```
data_In2MoW
_chemical_formula_sum 'In4 Mo2 W2'
_space_group_name_H-M_alt 'I m m m'
_space_group_IT_number 71
_space_group_name_Hall '-I 2 2'
_cell_length_a 3.360
_cell_length_b 4.710
_cell_length_c 9.334
_cell_angle_alpha 90.00
_cell_angle_beta 90.00
_cell_angle_gamma 90.00
loop_
_atom_site_label
_atom_site_type_symbol
_atom_site_fract_x
_atom_site_fract_y
_atom_site_fract_z
In1 In 0.000 0.000 0.248
Mo1 Mo 0.000 0.500 0.500
W1 W 0.000 0.500 0.000
```

***

Record 6
A plane-wave DFT calculation with PBE was carried out for a relaxed Tb5TmAl6 crystal.

As for the volume: 562.02 Å³/cell. As for the density of states at the Fermi level: 8.67 states/eV per cell. The calculation puts the formation enthalpy at 0 K at -395 meV/atom. Its total moment is 0.00 μB/f.u. Its electronic total energy is -109.65 eV/cell.

CIF file:
```
data_Tb5TmAl6
_chemical_formula_sum 'Tb10 Tm2 Al12'
_space_group_name_H-M_alt 'C m m m'
_space_group_IT_number 65
_space_group_name_Hall '-C 2 2'
_cell_length_a 5.090
_cell_length_b 15.281
_cell_length_c 7.225
_cell_angle_alpha 90.00
_cell_angle_beta 90.00
_cell_angle_gamma 90.00
loop_
_atom_site_label
_atom_site_type_symbol
_atom_site_fract_x
_atom_site_fract_y
_atom_site_fract_z
Tb1 Tb 0.000 0.000 0.000
Tb2 Tb 0.000 0.332 0.000
Tb3 Tb 0.000 0.334 0.500
Tm1 Tm 0.000 0.000 0.500
Al1 Al 0.000 0.165 0.253
Al2 Al 0.000 0.500 0.252
```

***

Record 7
A plane-wave DFT calculation with PBE was carried out for a relaxed InB crystal.

As for the volume: 312.26 Å³/cell. As for the density of states at the Fermi level: 4.03 states/eV per cell. The calculation puts the formation enthalpy at 0 K at 410 meV/atom. The calculation puts the energy above the most stable polymorph in this dataset at 0.047 eV/atom. Its total moment is 0.00 μB/f.u. Its electronic total energy is -68.76 eV/cell.

CIF file:
```
data_InB
_chemical_formula_sum 'In8 B8'
_space_group_name_H-M_alt 'P 4/m'
_space_group_IT_number 83
_cell_length_a 9.935
_cell_length_b 9.935
_cell_length_c 3.164
_cell_angle_alpha 90.00
_cell_angle_beta 90.00
_cell_angle_gamma 90.00
loop_
_space_group_symop_operation_xyz
'x,y,z'
'-x,-y,-z'
'-y,x,z'
'y,-x,-z'
'-x,-y,z'
'x,y,-z'
'y,-x,z'
'-y,x,-z'
loop_
_atom_site_label
_atom_site_type_symbol
_atom_site_fract_x
_atom_site_fract_y
_atom_site_fract_z
In1 In 0.040 0.218 0.000
In2 In 0.160 0.582 0.500
B1 B 0.254 0.347 0.000
B2 B 0.254 0.353 0.500
```

***

Record 8
A plane-wave DFT calculation with PBE was carried out for a relaxed RbCuClF2 crystal.

As for the volume: 86.80 Å³/cell. As for the density of states at the Fermi level: 1.52 states/eV per cell. Its total moment is 0.19 μB/f.u. As for the formation energy (no corrections): -8.3 eV per formula unit. Its electronic total energy is -18.92 eV/cell.

CIF file:
```
data_RbCuClF2
_chemical_formula_sum 'Rb1 Cu1 Cl1 F2'
_space_group_name_H-M_alt 'P 4/m m m'
_space_group_IT_number 123
_space_group_name_Hall '-P 4 2'
_cell_length_a 4.340
_cell_length_b 4.340
_cell_length_c 4.608
_cell_angle_alpha 90.00
_cell_angle_beta 90.00
_cell_angle_gamma 90.00
loop_
_atom_site_label
_atom_site_type_symbol
_atom_site_fract_x
_atom_site_fract_y
_atom_site_fract_z
Rb1 Rb 0.000 0.000 0.000
Cu1 Cu 0.500 0.500 0.500
Cl1 Cl 0.500 0.500 0.000
F1 F 0.000 0.500 0.500
```

***

Record 9
A plane-wave DFT calculation with PBE was carried out for a relaxed LiPmGdLu crystal.

As for the volume: 468.56 Å³/cell. As for the density of states at the Fermi level: 16.87 states/eV per cell. The calculation puts the formation enthalpy at 0 K at 146 meV/atom. Its total moment is 7.26 μB/f.u. Its electronic total energy is -98.72 eV/cell.

CIF file:
```
data_LiPmGdLu
_chemical_formula_sum 'Li4 Pm4 Gd4 Lu4'
_space_group_name_H-M_alt 'F -4 3 m'
_space_group_IT_number 216
_space_group_name_Hall 'F -4 2 3'
_cell_length_a 7.767
_cell_length_b 7.767
_cell_length_c 7.767
_cell_angle_alpha 90.00
_cell_angle_beta 90.00
_cell_angle_gamma 90.00
loop_
_atom_site_label
_atom_site_type_symbol
_atom_site_fract_x
_atom_site_fract_y
_atom_site_fract_z
Li1 Li 0.000 0.000 0.000
Pm1 Pm 0.250 0.250 0.250
Gd1 Gd 0.250 0.250 0.750
Lu1 Lu 0.000 0.000 0.500
```

***

Record 10
A plane-wave DFT calculation with PBE was carried out for a relaxed KIn4Ag crystal.

As for the volume: 430.09 Å³/cell. As for the density of states at the Fermi level: 6.14 states/eV per cell. The calculation puts the formation enthalpy at 0 K at 149 meV/atom. The calculation puts the energy above the most stable polymorph in this dataset at 0.233 eV/atom. Its total moment is 0.00 μB/f.u. Its electronic total energy is -28.02 eV/cell.

CIF file:
```
data_KIn4Ag
_chemical_formula_sum 'K2 In8 Ag2'
_space_group_name_H-M_alt 'P 4/m b m'
_space_group_IT_number 127
_space_group_name_Hall '-P 4 2ab'
_cell_length_a 7.196
_cell_length_b 7.196
_cell_length_c 8.306
_cell_angle_alpha 90.00
_cell_angle_beta 90.00
_cell_angle_gamma 90.00
loop_
_atom_site_label
_atom_site_type_symbol
_atom_site_fract_x
_atom_site_fract_y
_atom_site_fract_z
K1 K 0.000 0.500 0.000
In1 In 0.000 0.000 0.176
In2 In 0.148 0.352 0.500
Ag1 Ag 0.000 0.000 0.500
```

***

Record 11
A plane-wave DFT calculation with PBE was carried out for a relaxed Hf2Fe21B6 crystal.

As for the volume: 1234.61 Å³/cell. As for the density of states at the Fermi level: 85.34 states/eV per cell. The calculation puts the formation enthalpy at 0 K at -270 meV/atom. Its total moment is 40.97 μB/f.u. Its electronic total energy is -982.05 eV/cell.

CIF file:
```
data_Hf2Fe21B6
_chemical_formula_sum 'Hf8 Fe84 B24'
_space_group_name_H-M_alt 'F m -3 m'
_space_group_IT_number 225
_space_group_name_Hall '-F 4 2 3'
_cell_length_a 10.728
_cell_length_b 10.728
_cell_length_c 10.728
_cell_angle_alpha 90.00
_cell_angle_beta 90.00
_cell_angle_gamma 90.00
loop_
_atom_site_label
_atom_site_type_symbol
_atom_site_fract_x
_atom_site_fract_y
_atom_site_fract_z
Hf1 Hf 0.250 0.250 0.250
Fe1 Fe 0.000 0.000 0.000
Fe2 Fe 0.000 0.171 0.171
Fe3 Fe 0.114 0.114 0.386
B1 B 0.000 0.000 0.273
```

***

Record 12
A plane-wave DFT calculation with PBE was carried out for a relaxed TcHg3H crystal.

As for the volume: 83.42 Å³/cell. As for the density of states at the Fermi level: 2.57 states/eV per cell. The calculation puts the energy above the most stable polymorph in this dataset at 0.000 eV/atom. Its total moment is 1.51 μB/f.u. Its electronic total energy is -10.45 eV/cell.

CIF file:
```
data_TcHg3H
_chemical_formula_sum 'Tc1 Hg3 H1'
_space_group_name_H-M_alt 'P m -3 m'
_space_group_IT_number 221
_space_group_name_Hall '-P 4 2 3'
_cell_length_a 4.369
_cell_length_b 4.369
_cell_length_c 4.369
_cell_angle_alpha 90.00
_cell_angle_beta 90.00
_cell_angle_gamma 90.00
loop_
_atom_site_label
_atom_site_type_symbol
_atom_site_fract_x
_atom_site_fract_y
_atom_site_fract_z
Tc1 Tc 0.000 0.000 0.000
Hg1 Hg 0.000 0.500 0.500
H1 H 0.500 0.500 0.500
```

***

total moment of number 2 (Zr2MnIn2S6)?
5.01 μB/f.u.

***

Which value of total moment does entry 3 give?
0.00 μB/f.u.